! Ge2CO | the Alexandria database | PBE | relaxed; values from VASP
! * D(E_F): 0.213 states/eV/atom
! * crystal system: cubic
! * energy relative to the lowest polymorph listed for this composition: 0.664 eV/atom
! * energy relative to the elements, uncorrected: 895 meV/atom
&SYSTEM
  ibrav = 0, nat = 16, ntyp = 3
/
ATOMIC_SPECIES
Ge 72.64 Ge.upf
C 12.01 C.upf
O 16.00 O.upf
ATOMIC_POSITIONS angstrom
Ge 1.420 1.420 1.420
Ge 1.420 1.420 4.259
Ge 1.420 4.259 1.420
Ge 1.420 4.259 4.259
Ge 4.259 1.420 1.420
Ge 4.259 1.420 4.259
Ge 4.259 4.259 1.420
Ge 4.259 4.259 4.259
C 0.000 0.000 0.000
C 0.000 2.839 2.839
C 2.839 0.000 2.839
C 2.839 2.839 0.000
O 0.000 0.000 2.839
O 0.000 2.839 0.000
O 2.839 0.000 0.000
O 2.839 2.839 2.839
CELL_PARAMETERS angstrom
5.678 0.000 0.000
0.000 5.678 0.000
0.000 0.000 5.678

! GeC2O | the Alexandria database | PBE | relaxed; values from VASP
! * D(E_F): 0.766 states/eV/atom
! * crystal system: cubic
! * energy relative to the lowest polymorph listed for this composition: 0.884 eV/atom
! * energy relative to the elements, uncorrected: 2499 meV/atom
&SYSTEM
  ibrav = 0, nat = 16, ntyp = 3
/
ATOMIC_SPECIES
Ge 72.64 Ge.upf
C 12.01 C.upf
O 16.00 O.upf
ATOMIC_POSITIONS angstrom
Ge 0.000 0.000 0.000
Ge 0.000 2.672 2.672
Ge 2.672 0.000 2.672
Ge 2.672 2.672 0.000
C 1.336 1.336 1.336
C 1.336 1.336 4.008
C 1.336 4.008 1.336
C 1.336 4.008 4.008
C 4.008 1.336 1.336
C 4.008 1.336 4.008
C 4.008 4.008 1.336
C 4.008 4.008 4.008
O 0.000 0.000 2.672
O 0.000 2.672 0.000
O 2.672 0.000 0.000
O 2.672 2.672 2.672
CELL_PARAMETERS angstrom
5.344 0.000 0.000
0.000 5.344 0.000
0.000 0.000 5.344

! Ge2CO | the Alexandria database | PBE | relaxed; values from VASP
! * D(E_F): 0.111 states/eV/atom
! * crystal system: tetragonal
! * energy relative to the lowest polymorph listed for this composition: 0.000 eV/atom
! * energy relative to the elements, uncorrected: 231 meV/atom
&SYSTEM
  ibrav = 0, nat = 16, ntyp = 3
/
ATOMIC_SPECIES
Ge 72.64 Ge.upf
C 12.01 C.upf
O 16.00 O.upf
ATOMIC_POSITIONS angstrom
Ge 1.132 1.225 1.156
Ge 1.225 3.581 3.468
Ge 1.225 3.767 8.091
Ge 1.318 1.225 5.780
Ge 3.581 3.674 5.780
Ge 3.674 1.132 8.091
Ge 3.674 1.318 3.468
Ge 3.767 3.674 1.156
C 0.000 0.000 0.000
C 0.000 2.450 2.312
C 2.450 0.000 6.936
C 2.450 2.450 4.624
O 0.000 0.000 4.624
O 0.000 2.450 6.936
O 2.450 0.000 2.312
O 2.450 2.450 0.000
CELL_PARAMETERS angstrom
4.899 0.000 0.000
0.000 4.899 0.000
0.000 0.000 9.247

! GeCO2 | the Alexandria database | PBE | relaxed; values from VASP
! * D(E_F): 0.641 states/eV/atom
! * crystal system: tetragonal
! * energy relative to the lowest polymorph listed for this composition: 0.055 eV/atom
! * energy relative to the elements, uncorrected: 644 meV/atom
&SYSTEM
  ibrav = 0, nat = 16, ntyp = 3
/
ATOMIC_SPECIES
Ge 72.64 Ge.upf
C 12.01 C.upf
O 16.00 O.upf
ATOMIC_POSITIONS angstrom
Ge 0.000 1.222 2.599
Ge 0.000 3.667 4.332
Ge 2.445 1.222 0.866
Ge 2.445 3.667 6.065
C 0.000 1.222 6.065
C 0.000 3.667 0.866
C 2.445 1.222 4.332
C 2.445 3.667 2.599
O 0.000 0.000 0.000
O 0.000 2.445 0.000
O 1.222 1.222 5.199
O 1.222 3.667 1.733
O 2.445 0.000 3.466
O 2.445 2.445 3.466
O 3.667 1.222 5.199
O 3.667 3.667 1.733
CELL_PARAMETERS angstrom
4.889 0.000 0.000
0.000 4.889 0.000
0.000 0.000 6.932

! GeCO2 | the Alexandria database | PBE | relaxed; values from VASP
! * D(E_F): 0.517 states/eV/atom
! * crystal system: trigonal
! * energy relative to the lowest polymorph listed for this composition: 0.227 eV/atom
! * energy relative to the elements, uncorrected: 815 meV/atom
&SYSTEM
  ibrav = 0, nat = 12, ntyp = 3
/
ATOMIC_SPECIES
Ge 72.64 Ge.upf
C 12.01 C.upf
O 16.00 O.upf
ATOMIC_POSITIONS angstrom
Ge 0.000 0.000 0.000
Ge 0.000 1.539 12.516
Ge 1.333 0.770 6.258
C 0.000 0.000 9.387
C 0.000 1.539 3.129
C 1.333 0.770 15.646
O 0.000 0.000 2.185
O 0.000 0.000 16.590
O 0.000 1.539 10.332
O 0.000 1.539 14.701
O 1.333 0.770 4.074
O 1.333 0.770 8.443
CELL_PARAMETERS angstrom
2.666 0.000 0.000
-1.333 2.309 0.000
0.000 0.000 18.775

! GeP2CO | the Alexandria database | PBE | relaxed; values from VASP
! * D(E_F): 0.213 states/eV/atom
! * crystal system: tetragonal
! * energy relative to the lowest polymorph listed for this composition: 0.000 eV/atom
! * energy relative to the elements, uncorrected: 948 meV/atom
&SYSTEM
  ibrav = 0, nat = 5, ntyp = 4
/
ATOMIC_SPECIES
Ge 72.64 Ge.upf
P 30.97 P.upf
C 12.01 C.upf
O 16.00 O.upf
ATOMIC_POSITIONS angstrom
Ge 0.000 0.000 0.000
P 0.000 2.100 1.688
P 2.100 0.000 1.688
C 2.100 2.100 1.688
O 2.100 2.100 0.000
CELL_PARAMETERS angstrom
4.200 0.000 0.000
0.000 4.200 0.000
0.000 0.000 3.375

! GeP2CO | the Alexandria database | PBE | relaxed; values from VASP
! * D(E_F): 0.501 states/eV/atom
! * crystal system: tetragonal
! * energy relative to the lowest polymorph listed for this composition: 0.606 eV/atom
! * energy relative to the elements, uncorrected: 1554 meV/atom
&SYSTEM
  ibrav = 0, nat = 5, ntyp = 4
/
ATOMIC_SPECIES
Ge 72.64 Ge.upf
P 30.97 P.upf
C 12.01 C.upf
O 16.00 O.upf
ATOMIC_POSITIONS angstrom
Ge 0.000 0.000 0.000
P 0.000 2.363 0.000
P 2.363 0.000 0.000
C 2.363 2.363 1.771
O 0.000 0.000 1.771
CELL_PARAMETERS angstrom
4.726 0.000 0.000
0.000 4.726 0.000
0.000 0.000 3.543

! ReGeCO2 | the Alexandria database | PBE | relaxed; values from VASP
! * D(E_F): 0.887 states/eV/atom
! * crystal system: tetragonal
! * energy relative to the elements, uncorrected: 1478 meV/atom
&SYSTEM
  ibrav = 0, nat = 5, ntyp = 4
/
ATOMIC_SPECIES
Re 186.21 Re.upf
Ge 72.64 Ge.upf
C 12.01 C.upf
O 16.00 O.upf
ATOMIC_POSITIONS angstrom
Re 0.000 0.000 0.000
Ge 1.858 1.858 0.000
C 1.858 1.858 1.974
O 0.000 1.858 1.974
O 1.858 0.000 1.974
CELL_PARAMETERS angstrom
3.716 0.000 0.000
0.000 3.716 0.000
0.000 0.000 3.948

! GeRhCO2 | the Alexandria database | PBE | relaxed; values from VASP
! * D(E_F): 0.518 states/eV/atom
! * crystal system: tetragonal
! * energy relative to the elements, uncorrected: 599 meV/atom
&SYSTEM
  ibrav = 0, nat = 5, ntyp = 4
/
ATOMIC_SPECIES
Ge 72.64 Ge.upf
Rh 102.91 Rh.upf
C 12.01 C.upf
O 16.00 O.upf
ATOMIC_POSITIONS angstrom
Ge 0.000 0.000 0.000
Rh 1.855 1.855 2.007
C 0.000 0.000 2.007
O 0.000 1.855 0.000
O 1.855 0.000 0.000
CELL_PARAMETERS angstrom
3.710 0.000 0.000
0.000 3.710 0.000
0.000 0.000 4.014

! Sc5Ge2CO | the Alexandria database | PBE | relaxed; values from VASP
! * D(E_F): 0.435 states/eV/atom
! * crystal system: tetragonal
! * energy relative to the elements, uncorrected: -1054 meV/atom
&SYSTEM
  ibrav = 0, nat = 9, ntyp = 4
/
ATOMIC_SPECIES
Sc 44.96 Sc.upf
Ge 72.64 Ge.upf
C 12.01 C.upf
O 16.00 O.upf
ATOMIC_POSITIONS angstrom
Sc 0.000 0.000 0.000
Sc 0.000 2.032 4.884
Sc 2.032 0.000 4.884
Sc 2.032 2.032 2.112
Sc 2.032 2.032 7.656
Ge 0.000 0.000 2.806
Ge 0.000 0.000 6.962
C 2.032 2.032 0.000
O 2.032 2.032 4.884
CELL_PARAMETERS angstrom
4.064 0.000 0.000
0.000 4.064 0.000
0.000 0.000 9.768

! Ge2CSeO | the Alexandria database | PBE | relaxed; values from VASP
! * D(E_F): 0.461 states/eV/atom
! * crystal system: tetragonal
! * energy relative to the elements, uncorrected: 1569 meV/atom
&SYSTEM
  ibrav = 0, nat = 5, ntyp = 4
/
ATOMIC_SPECIES
Ge 72.64 Ge.upf
C 12.01 C.upf
Se 78.96 Se.upf
O 16.00 O.upf
ATOMIC_POSITIONS angstrom
Ge 0.000 2.581 0.000
Ge 2.581 0.000 0.000
C 0.000 0.000 1.873
Se 0.000 0.000 0.000
O 2.581 2.581 1.873
CELL_PARAMETERS angstrom
5.163 0.000 0.000
0.000 5.163 0.000
0.000 0.000 3.745

! GeTeC2O | the Alexandria database | PBE | relaxed; values from VASP
! * D(E_F): 0.732 states/eV/atom
! * crystal system: tetragonal
! * energy relative to the elements, uncorrected: 1969 meV/atom
&SYSTEM
  ibrav = 0, nat = 5, ntyp = 4
/
ATOMIC_SPECIES
Ge 72.64 Ge.upf
Te 127.60 Te.upf
C 12.01 C.upf
O 16.00 O.upf
ATOMIC_POSITIONS angstrom
Ge 0.000 0.000 0.000
Te 0.000 0.000 3.183
C 0.000 1.838 0.000
C 1.838 0.000 0.000
O 1.838 1.838 3.183
CELL_PARAMETERS angstrom
3.676 0.000 0.000
0.000 3.676 0.000
0.000 0.000 6.365